(1)
# GaTe2Br | Alexandria via LeMat-Bulk | PBE | relaxed
data_GaTe2Br
_cell_length_a 8.2478
_cell_length_b 5.6888
_cell_length_c 14.9468
_cell_angle_alpha 90.00
_cell_angle_beta 100.61
_cell_angle_gamma 90.00
_space_group_name_H-M_alt 'P 1'
_space_group_IT_number 1
loop_
_space_group_symop_operation_xyz
'x,y,z'
loop_
_atom_site_label
_atom_site_type_symbol
_atom_site_fract_x
_atom_site_fract_y
_atom_site_fract_z
_atom_site_occupancy
Ga1 Ga 0.1896 0.0415 0.0702 1
Ga2 Ga 0.1896 0.4585 0.5702 1
Ga3 Ga 0.8104 0.5415 0.4298 1
Ga4 Ga 0.8104 0.9585 0.9298 1
Te1 Te 0.0796 0.6776 0.9546 1
Te2 Te 0.0796 0.8224 0.4546 1
Te3 Te 0.3863 0.1680 0.9604 1
Te4 Te 0.3863 0.3320 0.4604 1
Te5 Te 0.6137 0.6680 0.5396 1
Te6 Te 0.6137 0.8320 0.0396 1
Te7 Te 0.9204 0.1776 0.5454 1
Te8 Te 0.9204 0.3224 0.0454 1
Br1 Br 0.2852 0.5824 0.7188 1
Br2 Br 0.2852 0.9176 0.2188 1
Br3 Br 0.7148 0.0824 0.7812 1
Br4 Br 0.7148 0.4176 0.2812 1
# Offset from the most stable computed form in meV per atom: 0
# Total moment in μB per cell: 0.0
# E_form (uncorrected) in eV per atom: -0.346
# Energy in eV per atom: -3.09

(2)
# CrPIrCl2 | Alexandria via LeMat-Bulk | PBE | relaxed
data_CrPIrCl2
_cell_length_a 4.2502
_cell_length_b 4.2502
_cell_length_c 5.0350
_cell_angle_alpha 90.00
_cell_angle_beta 90.00
_cell_angle_gamma 90.00
_space_group_name_H-M_alt 'P 1'
_space_group_IT_number 1
loop_
_space_group_symop_operation_xyz
'x,y,z'
loop_
_atom_site_label
_atom_site_type_symbol
_atom_site_fract_x
_atom_site_fract_y
_atom_site_fract_z
_atom_site_occupancy
Cr1 Cr 0.0000 0.0000 0.0000 1
P1 P 0.0000 0.0000 0.5000 1
Ir1 Ir 0.5000 0.5000 0.5000 1
Cl1 Cl 0.0000 0.5000 0.0000 1
Cl2 Cl 0.5000 0.0000 0.0000 1
# Offset from the most stable computed form in meV per atom: 490
# Total moment in μB per cell: 0.0
# E_form (uncorrected) in eV per atom: 0.958
# Energy in eV per atom: -4.56